VASP calculation (PBEsol) on CsZn3Os after structural relaxation.

Geometry as POSCAR:
```
CsZn3Os
1.0
6.254 0.000 0.000
0.000 6.254 0.000
0.000 0.000 6.254
Cs Zn Os
1 3 1
direct
0.000 0.000 0.000
0.000 0.000 0.500
0.000 0.500 0.000
0.500 0.000 0.000
0.500 0.500 0.500
```

Values from the calculation:
magnetization = 3.09 μB/f.u.
ΔE_f = 2.514 eV/atom